Material: GeSeO
Method: DFT, GGA-PBE
State: relaxed

Output
ΔE_f (raw)   -725 meV/atom
DOS(E_F)   0.66 states/eV per cell

The structure in CIF format:
```
data_GeSeO
_chemical_formula_sum 'Ge1 Se1 O1'
_cell_length_a 2.905
_cell_length_b 4.402
_cell_length_c 5.283
_cell_angle_alpha 90.00
_cell_angle_beta 90.23
_cell_angle_gamma 90.00
_space_group_name_H-M_alt 'P 1 m 1'
_space_group_IT_number 6
loop_
_space_group_symop_operation_xyz
'x,y,z'
'x,-y,z'
loop_
_atom_site_label
_atom_site_fract_x
_atom_site_fract_y
_atom_site_fract_z
_atom_site_occupancy
Ge1 0.000 0.000 0.000 1
Se1 0.998 0.500 0.759 1
O1 0.502 0.000 0.205 1
```

=====

Material: GeSe3O
Method: DFT, GGA-PBE
State: relaxed

Output
ΔE_f (raw)   377 meV/atom
DOS(E_F)   1.72 states/eV per cell

The structure in CIF format:
```
data_GeSe3O
_chemical_formula_sum 'Ge1 Se3 O1'
_cell_length_a 4.547
_cell_length_b 4.547
_cell_length_c 4.547
_cell_angle_alpha 90.00
_cell_angle_beta 90.00
_cell_angle_gamma 90.00
_space_group_name_H-M_alt 'P m -3 m'
_space_group_IT_number 221
_space_group_name_Hall '-P 4 2 3'
loop_
_atom_site_label
_atom_site_fract_x
_atom_site_fract_y
_atom_site_fract_z
_atom_site_occupancy
Ge1 0.000 0.000 0.000 1
Se1 0.000 0.500 0.500 1
O1 0.500 0.500 0.500 1
```

=====

Material: GeSeO
Method: DFT, GGA-PBE
State: relaxed

Output
ΔE_f (raw)   -909 meV/atom
DOS(E_F)   0.00 states/eV per cell

The structure in CIF format:
```
data_GeSeO
_chemical_formula_sum 'Ge4 Se4 O4'
_cell_length_a 9.049
_cell_length_b 5.147
_cell_length_c 7.226
_cell_angle_alpha 90.00
_cell_angle_beta 110.29
_cell_angle_gamma 90.00
_space_group_name_H-M_alt 'P 1 21/c 1'
_space_group_IT_number 14
loop_
_space_group_symop_operation_xyz
'x,y,z'
'-x,-y,-z'
'-x,y+1/2,-z+1/2'
'x,-y+1/2,z+1/2'
loop_
_atom_site_label
_atom_site_fract_x
_atom_site_fract_y
_atom_site_fract_z
_atom_site_occupancy
Ge1 0.120 0.191 0.304 1
Se1 0.293 0.173 0.640 1
O1 0.055 0.633 0.726 1
```

=====

Material: GeSeO
Method: DFT, GGA-PBE
State: relaxed

Output
ΔE_f (raw)   -887 meV/atom
DOS(E_F)   0.00 states/eV per cell

The structure in CIF format:
```
data_GeSeO
_chemical_formula_sum 'Ge2 Se2 O2'
_cell_length_a 5.126
_cell_length_b 5.680
_cell_length_c 6.600
_cell_angle_alpha 113.03
_cell_angle_beta 90.57
_cell_angle_gamma 116.81
_space_group_name_H-M_alt 'P 1'
_space_group_IT_number 1
loop_
_space_group_symop_operation_xyz
'x,y,z'
loop_
_atom_site_label
_atom_site_fract_x
_atom_site_fract_y
_atom_site_fract_z
_atom_site_occupancy
Ge1 0.000 0.000 0.000 1
Ge2 0.296 0.592 0.999 1
Se1 0.121 0.118 0.690 1
Se2 0.308 0.475 0.309 1
O1 0.011 0.693 0.000 1
O2 0.614 0.899 0.998 1
```

=====

Material: Ge2SeO
Method: DFT, GGA-PBE
State: relaxed

Output
ΔE_f (raw)   104 meV/atom
DOS(E_F)   6.21 states/eV per cell

The structure in CIF format:
```
data_Ge2SeO
_chemical_formula_sum 'Ge8 Se4 O4'
_cell_length_a 6.445
_cell_length_b 6.445
_cell_length_c 6.445
_cell_angle_alpha 90.00
_cell_angle_beta 90.00
_cell_angle_gamma 90.00
_space_group_name_H-M_alt 'F m -3 m'
_space_group_IT_number 225
_space_group_name_Hall '-F 4 2 3'
loop_
_atom_site_label
_atom_site_fract_x
_atom_site_fract_y
_atom_site_fract_z
_atom_site_occupancy
Ge1 0.250 0.250 0.250 1
Se1 0.000 0.000 0.000 1
O1 0.000 0.000 0.500 1
```

=====

Material: GeSeO
Method: DFT, GGA-PBE
State: relaxed

Output
ΔE_f (raw)   -874 meV/atom
DOS(E_F)   0.00 states/eV per cell

The structure in CIF format:
```
data_GeSeO
_chemical_formula_sum 'Ge4 Se4 O4'
_cell_length_a 7.793
_cell_length_b 8.510
_cell_length_c 5.263
_cell_angle_alpha 90.00
_cell_angle_beta 126.53
_cell_angle_gamma 90.00
_space_group_name_H-M_alt 'C 1 c 1'
_space_group_IT_number 9
loop_
_space_group_symop_operation_xyz
'x,y,z'
'x,-y,z+1/2'
'x+1/2,y+1/2,z'
'x+1/2,-y+1/2,z+1/2'
loop_
_atom_site_label
_atom_site_fract_x
_atom_site_fract_y
_atom_site_fract_z
_atom_site_occupancy
Ge1 0.000 0.111 0.000 1
Se1 0.121 0.363 0.237 1
O1 0.077 0.058 0.752 1
```

=====

Material: GeSeO
Method: DFT, GGA-PBE
State: relaxed

Output
ΔE_f (raw)   -798 meV/atom
DOS(E_F)   0.00 states/eV per cell

The structure in CIF format:
```
data_GeSeO
_chemical_formula_sum 'Ge2 Se2 O2'
_cell_length_a 5.074
_cell_length_b 5.124
_cell_length_c 5.968
_cell_angle_alpha 101.41
_cell_angle_beta 102.72
_cell_angle_gamma 103.47
_space_group_name_H-M_alt 'P 1'
_space_group_IT_number 1
loop_
_space_group_symop_operation_xyz
'x,y,z'
loop_
_atom_site_label
_atom_site_fract_x
_atom_site_fract_y
_atom_site_fract_z
_atom_site_occupancy
Ge1 0.000 0.000 0.000 1
Ge2 0.152 0.465 0.723 1
Se1 0.536 0.722 0.591 1
Se2 0.726 0.389 0.401 1
O1 0.131 0.695 0.979 1
O2 0.193 0.155 0.797 1
```

=====

Material: GeSeO2
Method: DFT, GGA-PBE
State: relaxed

Output
ΔE_f (raw)   -534 meV/atom
DOS(E_F)   9.33 states/eV per cell

The structure in CIF format:
```
data_GeSeO2
_chemical_formula_sum 'Ge3 Se3 O6'
_cell_length_a 3.2168
_cell_length_b 3.2168
_cell_length_c 19.2010
_cell_angle_alpha 90.00
_cell_angle_beta 90.00
_cell_angle_gamma 120.00
_space_group_name_H-M_alt 'R -3 m'
_space_group_IT_number 166
_space_group_name_Hall '-R 3 2"'
loop_
_atom_site_label
_atom_site_fract_x
_atom_site_fract_y
_atom_site_fract_z
_atom_site_occupancy
Ge1 0.0000 0.0000 0.0000 1
Se1 0.0000 0.0000 0.5000 1
O1 0.0000 0.0000 0.3885 1
```

=====

Question: Which formula does entry 2 have?
Answer: GeSe3O